1.
Density functional theory data (PBE) for a relaxed structure of ThNiPS.

The structure in POSCAR format:
```
ThNiPS
1.0
4.265 0.000 0.000
0.000 4.265 0.000
0.000 0.000 8.217
Th Ni P S
2 2 2 2
direct
0.250 0.250 0.217 Th
0.750 0.750 0.783 Th
0.250 0.750 0.500 Ni
0.750 0.250 0.500 Ni
0.250 0.250 0.622 P
0.750 0.750 0.378 P
0.250 0.750 0.000 S
0.750 0.250 0.000 S
```

Properties
As for the space group: P4/nmm, No. 129. The value obtained for the density is 7.86 Mg/m³. For the total energy, the calculation gives -6.881 eV/atom. The raw formation energy is -1.1960 eV per atom.

=====

2.
Density functional theory data (PBE) for a relaxed structure of TlNiPS2.

The structure in POSCAR format:
```
TlNiPS2
1.0
5.143 0.000 0.000
0.000 5.143 0.000
0.000 0.000 5.078
Tl Ni P S
1 1 1 2
direct
0.000 0.000 0.000 Tl
0.500 0.500 0.500 Ni
0.000 0.000 0.500 P
0.000 0.500 0.000 S
0.500 0.000 0.000 S
```

Properties
As for the space group: P4/mmm, No. 123. The value obtained for the density is 4.43 Mg/m³. For the total energy, the calculation gives -2.852 eV/atom. The raw formation energy is 1.5104 eV per atom. The polymorph energy (0 for the lowest one) is 1212.5 meV per atom.

=====

3.
Density functional theory data (PBE) for a relaxed structure of TlNiP2S.

The structure in POSCAR format:
```
TlNiP2S
1.0
4.379 0.000 0.000
0.000 4.379 0.000
0.000 0.000 5.146
Tl Ni P S
1 1 2 1
direct
0.000 0.000 0.000 Tl
0.500 0.500 0.500 Ni
0.000 0.500 0.500 P
0.500 0.000 0.500 P
0.500 0.500 0.000 S
```

Properties
As for the space group: P4/mmm, No. 123. The value obtained for the density is 6.01 Mg/m³. For the total energy, the calculation gives -4.183 eV/atom. The raw formation energy is 0.4363 eV per atom. The polymorph energy (0 for the lowest one) is 0.0 meV per atom.

=====

The highest raw formation energy belongs to which entry? TlNiPS2

=====

What is the formula in the first record? ThNiPS

=====

Which value of raw formation energy does entry 2 give? 1.5104 eV per atom